A relaxed AcInRe crystal, computed with PBE.

## Properties
calculated total energy	-4.931	eV per atom
spin magnetization	5.90	Bohr magnetons per cell
polymorph energy (0 for the lowest one)	889.6	meV per atom

Lattice parameters (Å, degrees): 7.275 7.275 7.275 90.00 90.00 90.00
Space group F-43m (No. 216)
One atom of each set of equivalent atoms:
Ac  0.000  0.000  0.000 x4
In  0.250  0.250  0.750 x4
Re  0.250  0.250  0.250 x4